CeTe2Pb after structural relaxation, computed with GGA-PBE.

The structure belongs to space group P4/mmm (No. 123); the cell edges are 3.9665, 3.9665 and 7.6692 Å and the angles 90.00°, 90.00° and 90.00°. The distinct sites, in fractional coordinates, are Ce at (0.0000, 0.0000, 0.0000), Te at (0.5000, 0.5000, 0.2293) and Pb at (0.0000, 0.0000, 0.5000).

The value obtained for the size of the total moment is 1.25 μB per cell. The uncorrected formation energy comes out at -0.79 eV per atom. The calculation puts the density at 8.3 g cm⁻³. For the total energy, the calculation gives -4.767 eV/atom.

=====

CeTe4Pb2 after structural relaxation, computed with GGA-PBE.

The structure belongs to space group Cmcm (No. 63); the cell edges are 4.3888, 15.3207 and 14.9399 Å and the angles 90.00°, 90.00° and 90.00°. The distinct sites, in fractional coordinates, are Ce at (0.0000, 0.1173, 0.2500), Te at (0.0000, 0.0000, 0.0000), Te at (0.0000, 0.2860, 0.6290), Te at (0.0000, 0.4746, 0.2500) and Pb at (0.0000, 0.3678, 0.0674).

The value obtained for the size of the total moment is 0.84 μB per cell. The uncorrected formation energy comes out at -0.66 eV per atom. The calculation puts the density at 7.0 g cm⁻³. For the total energy, the calculation gives -4.364 eV/atom.

=====

> Number 2 is which compound?

CeTe4Pb2

=====

> Number 2 is which compound?

CeTe4Pb2

=====

> Among the records above, which one has the lowest size of the total moment?

CeTe4Pb2